VASP calculation (PBE) on a relaxed structure of KNaSbAu.

Properties
The final energy is -2.9106 eV/atom.

The structure in CIF format:
```
data_KNaSbAu
_chemical_formula_sum 'K2 Na2 Sb2 Au2'
_symmetry_space_group_name_H-M 'P 1'
_symmetry_Int_Tables_number 1
_symmetry_space_group_name_Hall 'P 1'
_cell_length_a 6.2785
_cell_length_b 6.3332
_cell_length_c 6.3332
_cell_angle_alpha 104.63
_cell_angle_beta 90.00
_cell_angle_gamma 90.00
loop_
_atom_site_label
_atom_site_type_symbol
_atom_site_fract_x
_atom_site_fract_y
_atom_site_fract_z
_atom_site_occupancy
K1 K 0.0000 0.1747 0.8253 1
K2 K 0.0000 0.8253 0.1747 1
Na1 Na 0.5000 0.4927 0.8371 1
Na2 Na 0.5000 0.8371 0.4927 1
Sb1 Sb 0.0000 0.6178 0.6178 1
Sb2 Sb 0.5000 0.0528 0.0528 1
Au1 Au 0.2562 0.3407 0.3407 1
Au2 Au 0.7438 0.3407 0.3407 1
```